1.
DFT (GGA-PBE) results for an optimized crystal structure of Na3Bi2Pd4.

It has space group C2/m (No. 12), with a = 10.632 Å, b = 4.668 Å, c = 8.766 Å, α = 90.00°, β = 100.06° and γ = 90.00°. The inequivalent atoms are Na at (0.000, 0.000, 0.000), Na at (0.118, 0.500, 0.381), Bi at (0.196, 0.500, 0.760), Pd at (0.086, 0.000, 0.635) and Pd at (0.234, 0.500, 0.082).

For the energy relative to the elements, the calculation gives -0.24 eV/atom. Its raw total energy is -69.284 eV/cell. The value obtained for the total magnetization is 0.0 μB per formula unit. The relative energy among the computed polymorphs comes out at 0.07 eV per formula unit.

2.
DFT (GGA-PBE) results for an optimized crystal structure of NaBi3Pd6.

It has space group Cmc2_1 (No. 36), with a = 10.729 Å, b = 12.649 Å, c = 6.106 Å, α = 90.00°, β = 90.00° and γ = 90.00°. The inequivalent atoms are Na at (0.000, 0.198, 0.000), Bi at (0.000, 0.406, 0.725), Bi at (0.204, 0.070, 0.480), Pd at (0.000, 0.004, 0.735), Pd at (0.000, 0.209, 0.472), Pd at (0.133, 0.400, 0.336) and Pd at (0.227, 0.273, 0.691).

For the energy relative to the elements, the calculation gives -0.20 eV/atom. Its raw total energy is -184.446 eV/cell. The value obtained for the total magnetization is 0.0 μB per formula unit.

3.
DFT (GGA-PBE) results for an optimized crystal structure of NaBiPd2.

It has space group P4/mmm (No. 123), with a = 4.694 Å, b = 4.694 Å, c = 3.546 Å, α = 90.00°, β = 90.00° and γ = 90.00°. The inequivalent atoms are Na at (0.000, 0.000, 0.000), Bi at (0.500, 0.500, 0.000) and Pd at (0.000, 0.500, 0.500).

For the energy relative to the elements, the calculation gives -0.25 eV/atom. Its raw total energy is -16.599 eV/cell. The value obtained for the total magnetization is 0.0 μB per formula unit.